LiTaAl2: optimized geometry, PBEsol.

extended XYZ file:
```
4
Lattice="-0.511 -2.218 -1.687 4.728 -0.622 -0.614 -1.019 -2.694 3.850" Properties=species:S:1:pos:R:3 pbc="T T T"
Ta 1.599 -2.767 0.774
Al 2.364 -0.311 -0.307
Al -0.510 -1.347 1.925
Li -0.256 -1.109 -0.844
```

Output
Total moment in μB/cell: 0.0
Energy in eV for the cell shown: -23.414
Formation energy from the elements in eV/atom: -0.178

---

LiYTaAl2: optimized geometry, PBEsol.

extended XYZ file:
```
5
Lattice="4.972 0.000 0.000 0.000 5.413 0.000 0.000 0.000 5.413" Properties=species:S:1:pos:R:3 pbc="T T T"
Y 0.000 0.000 0.000
Li 2.486 2.706 2.706
Al 0.000 0.000 2.706
Al 0.000 2.706 0.000
Ta 2.486 0.000 0.000
```

Output
Total moment in μB/cell: 0.0
Energy in eV for the cell shown: -22.087
Formation energy from the elements in eV/atom: 1.487

---

Li2AlTc2: optimized geometry, PBEsol.

extended XYZ file:
```
5
Lattice="-3.391 -1.766 2.329 -0.413 0.107 -4.823 0.498 -3.864 -2.206" Properties=species:S:1:pos:R:3 pbc="T T T"
Li -2.377 -4.170 -2.319
Li -0.930 -1.354 -2.381
Tc -2.152 -2.470 -0.703
Tc -1.154 -3.054 -3.997
Al 0.000 0.000 0.000
```

Output
Total moment in μB/cell: 1.0
Energy in eV for the cell shown: -26.411
Formation energy from the elements in eV/atom: 0.829

---

LiAlTc: optimized geometry, PBEsol.

extended XYZ file:
```
3
Lattice="-1.789 1.488 -1.416 -0.782 -2.346 1.141 -1.715 3.325 5.662" Properties=species:S:1:pos:R:3 pbc="T T T"
Li -2.590 2.414 3.189
Tc -1.677 0.016 2.134
Al -0.019 0.038 0.064
```

Output
Total moment in μB/cell: 0.0
Energy in eV for the cell shown: -17.100
ΔE to the lowest computed polymorph in meV/atom: 0
Formation energy from the elements in eV/atom: 0.075